{"formula": "Zr2CuRe", "functional": "PBE", "state": "optimized geometry", "spacegroup": "I-42d", "m_tot_mub_per_cell": 0.0, "e_form_ev_per_atom": 0.354, "dft_energy_ev_per_atom": -8.0557, "cell": [[-3.6545, 3.6545, 2.8208], [3.6545, -3.6545, 2.8208], [3.6545, 3.6545, -2.8208]], "species": ["Zr", "Zr", "Zr", "Zr", "Cu", "Cu", "Re", "Re"], "frac_coords": [[0.1228, 0.6250, 0.9978], [0.3750, 0.3728, 0.4978], [0.6272, 0.1250, 0.0022], [0.8750, 0.8772, 0.5022], [0.0000, 0.0000, 0.0000], [0.7500, 0.2500, 0.5000], [0.2500, 0.7500, 0.5000], [0.5000, 0.5000, 0.0000]]}